DFT (SCAN) results for CuAg2As at its PBEsol-relaxed geometry.

abc: 5.4040 5.4040 2.8017
angles: 103.29 103.29 119.17
Atoms (fractional coordinates):
Cu  0.0000  0.0000  0.0000
Ag  0.0000  0.5000  0.5000
Ag  0.5000  0.0000  0.5000
As  0.5000  0.5000  0.0000

Results
N(E_F): 1.0 states/eV/cell
Total magnetic moment: 0.00 μB/f.u.

DFT (SCAN) results for CuAgAs2H3O8 at its PBEsol-relaxed geometry.

abc: 9.1485 7.6930 9.6665
angles: 90.00 104.66 90.00
Atoms (fractional coordinates):
Cu  0.0959  0.1766  0.0114
Cu  0.0959  0.3234  0.5114
Cu  0.9041  0.6766  0.4886
Cu  0.9041  0.8234  0.9886
Ag  0.2689  0.7404  0.5167
Ag  0.2689  0.7596  0.0167
Ag  0.7311  0.2404  0.9833
Ag  0.7311  0.2596  0.4833
As  0.0303  0.5048  0.2044
As  0.0303  0.9952  0.7044
As  0.4334  0.1876  0.1832
As  0.4334  0.3124  0.6832
As  0.5666  0.6876  0.3168
As  0.5666  0.8124  0.8168
As  0.9697  0.0048  0.2956
As  0.9697  0.4952  0.7956
H  0.2124  0.5053  0.7678
H  0.2124  0.9947  0.2678
H  0.4277  0.0517  0.8502
H  0.4277  0.4483  0.3502
H  0.4344  0.1634  0.4815
H  0.4344  0.3366  0.9815
H  0.5656  0.6634  0.0185
H  0.5656  0.8366  0.5185
H  0.5723  0.5517  0.6498
H  0.5723  0.9483  0.1498
H  0.7876  0.0053  0.7322
H  0.7876  0.4947  0.2322
O  0.0621  0.6897  0.1170
O  0.0621  0.8103  0.6170
O  0.0762  0.5275  0.3881
O  0.0762  0.9725  0.8881
O  0.1308  0.1668  0.6691
O  0.1308  0.3332  0.1691
O  0.1665  0.5347  0.8509
O  0.1665  0.9653  0.3509
O  0.2795  0.0526  0.1330
O  0.2795  0.4474  0.6330
O  0.4095  0.5826  0.3469
O  0.4095  0.9174  0.8469
O  0.4231  0.1260  0.5810
O  0.4231  0.3740  0.0810
O  0.4695  0.2399  0.8548
O  0.4695  0.2601  0.3548
O  0.5305  0.7399  0.6452
O  0.5305  0.7601  0.1452
O  0.5769  0.6260  0.9190
O  0.5769  0.8740  0.4190
O  0.5905  0.0826  0.1531
O  0.5905  0.4174  0.6531
O  0.7205  0.5526  0.3670
O  0.7205  0.9474  0.8670
O  0.8335  0.0347  0.6491
O  0.8335  0.4653  0.1491
O  0.8692  0.6668  0.8309
O  0.8692  0.8332  0.3309
O  0.9238  0.0275  0.1119
O  0.9238  0.4725  0.6119
O  0.9379  0.1897  0.3830
O  0.9379  0.3103  0.8830

Results
Total magnetic moment: 0.96 μB/f.u.

DFT (SCAN) results for Cu4AgAs3O12 at its PBEsol-relaxed geometry.

abc: 8.5892 8.5892 7.2913
angles: 108.22 108.22 92.79
Atoms (fractional coordinates):
Cu  0.0066  0.9934  0.7500
Cu  0.1247  0.4372  0.3647
Cu  0.2349  0.7651  0.2500
Cu  0.4372  0.1247  0.8647
Cu  0.5628  0.8753  0.1353
Cu  0.7651  0.2349  0.7500
Cu  0.8753  0.5628  0.6353
Cu  0.9934  0.0066  0.2500
Ag  0.4903  0.5097  0.7500
Ag  0.5097  0.4903  0.2500
As  0.1551  0.3956  0.8816
As  0.2267  0.7733  0.7500
As  0.3956  0.1551  0.3816
As  0.6044  0.8449  0.6184
As  0.7733  0.2267  0.2500
As  0.8449  0.6044  0.1184
O  0.0047  0.2260  0.8212
O  0.0151  0.7727  0.7361
O  0.0887  0.4795  0.6895
O  0.1812  0.5233  0.1272
O  0.2260  0.0047  0.3212
O  0.2273  0.9849  0.7639
O  0.2561  0.6600  0.5285
O  0.3352  0.3450  0.3895
O  0.3400  0.7439  0.9715
O  0.3450  0.3352  0.8895
O  0.4767  0.8188  0.3728
O  0.4795  0.0887  0.1895
O  0.5205  0.9113  0.8105
O  0.5233  0.1812  0.6272
O  0.6550  0.6648  0.1105
O  0.6600  0.2561  0.0285
O  0.6648  0.6550  0.6105
O  0.7439  0.3400  0.4715
O  0.7727  0.0151  0.2361
O  0.7740  0.9953  0.6788
O  0.8188  0.4767  0.8728
O  0.9113  0.5205  0.3105
O  0.9849  0.2273  0.2639
O  0.9953  0.7740  0.1788

Results
Total magnetic moment: 2.05 μB/f.u.

DFT (SCAN) results for CuAgAs2Se at its PBEsol-relaxed geometry.

abc: 4.8749 4.8749 5.0150
angles: 90.00 90.00 90.00
Atoms (fractional coordinates):
Cu  0.0000  0.0000  0.0000
Ag  0.5000  0.5000  0.5000
As  0.0000  0.5000  0.5000
As  0.5000  0.0000  0.5000
Se  0.5000  0.5000  0.0000

Results
N(E_F): 3.0 states/eV/cell
Total magnetic moment: 0.90 μB/f.u.

DFT (SCAN) results for CuAgAsSe2 at its PBEsol-relaxed geometry.

abc: 4.8317 4.8317 4.4880
angles: 90.00 90.00 90.00
Atoms (fractional coordinates):
Cu  0.0000  0.0000  0.0000
Ag  0.5000  0.5000  0.5000
As  0.0000  0.0000  0.5000
Se  0.0000  0.5000  0.0000
Se  0.5000  0.0000  0.0000

Results
N(E_F): 3.3 states/eV/cell
Total magnetic moment: 0.00 μB/f.u.

DFT (SCAN) results for AgAsF7 at its PBEsol-relaxed geometry.

abc: 7.6635 7.0441 9.7789
angles: 90.00 90.00 90.00
Atoms (fractional coordinates):
Ag  0.1363  0.2500  0.2423
Ag  0.3637  0.7500  0.7423
Ag  0.6363  0.2500  0.2577
Ag  0.8637  0.7500  0.7577
As  0.1987  0.7500  0.0590
As  0.3013  0.2500  0.5590
As  0.6987  0.7500  0.4410
As  0.8013  0.2500  0.9410
F  0.0117  0.2500  0.0184
F  0.0978  0.2500  0.6338
F  0.1105  0.7500  0.6910
F  0.1237  0.5727  0.1721
F  0.1237  0.9273  0.1721
F  0.2342  0.0747  0.4390
F  0.2342  0.4253  0.4390
F  0.2658  0.5747  0.9390
F  0.2658  0.9253  0.9390
F  0.3763  0.0727  0.6721
F  0.3763  0.4273  0.6721
F  0.3895  0.2500  0.1910
F  0.4022  0.7500  0.1338
F  0.4883  0.7500  0.5184
F  0.5117  0.2500  0.4816
F  0.5978  0.2500  0.8662
F  0.6105  0.7500  0.8090
F  0.6237  0.5727  0.3279
F  0.6237  0.9273  0.3279
F  0.7342  0.0747  0.0610
F  0.7342  0.4253  0.0610
F  0.7658  0.5747  0.5610
F  0.7658  0.9253  0.5610
F  0.8763  0.0727  0.8279
F  0.8763  0.4273  0.8279
F  0.8895  0.2500  0.3090
F  0.9022  0.7500  0.3662
F  0.9883  0.7500  0.9816

Results
N(E_F): 3.7 states/eV/cell
Total magnetic moment: 0.00 μB/f.u.

DFT (SCAN) results for AgAsF6 at its PBEsol-relaxed geometry.

abc: 5.8928 5.8928 5.8928
angles: 59.21 59.21 59.21
Atoms (fractional coordinates):
Ag  0.0000  0.0000  0.0000
As  0.5000  0.5000  0.5000
F  0.2839  0.7136  0.7136
F  0.2864  0.2864  0.7161
F  0.2864  0.7161  0.2864
F  0.7136  0.2839  0.7136
F  0.7136  0.7136  0.2839
F  0.7161  0.2864  0.2864

Results
N(E_F): 0.0 states/eV/cell
Total magnetic moment: 0.00 μB/f.u.

DFT (SCAN) results for Rb2AgAsF at its PBEsol-relaxed geometry.

abc: 6.3463 6.3463 4.0664
angles: 90.00 90.00 90.00
Atoms (fractional coordinates):
Rb  0.0000  0.5000  0.0000
Rb  0.5000  0.0000  0.0000
Ag  0.0000  0.0000  0.0000
As  0.5000  0.5000  0.5000
F  0.0000  0.0000  0.5000

Results
N(E_F): 4.2 states/eV/cell
Total magnetic moment: 0.27 μB/f.u.

DFT (SCAN) results for Rb2AgAsF6 at its PBEsol-relaxed geometry.

abc: 6.2406 6.2406 6.2406
angles: 60.00 60.00 60.00
Atoms (fractional coordinates):
Rb  0.2500  0.2500  0.2500
Rb  0.7500  0.7500  0.7500
Ag  0.0000  0.0000  0.0000
As  0.5000  0.5000  0.5000
F  0.2683  0.2683  0.7317
F  0.2683  0.7317  0.2683
F  0.2683  0.7317  0.7317
F  0.7317  0.2683  0.2683
F  0.7317  0.2683  0.7317
F  0.7317  0.7317  0.2683

Results
N(E_F): 0.0 states/eV/cell
Total magnetic moment: 0.00 μB/f.u.

DFT (SCAN) results for SiAg2AsF at its PBEsol-relaxed geometry.

abc: 4.7422 4.7422 4.6561
angles: 90.00 90.00 90.00
Atoms (fractional coordinates):
Si  0.0000  0.0000  0.0000
Ag  0.0000  0.5000  0.0000
Ag  0.5000  0.0000  0.0000
As  0.0000  0.0000  0.5000
F  0.5000  0.5000  0.5000

Results
N(E_F): 1.8 states/eV/cell
Total magnetic moment: 0.00 μB/f.u.

DFT (SCAN) results for FeAgAs at its PBEsol-relaxed geometry.

abc: 4.2333 4.2333 4.2333
angles: 60.00 60.00 60.00
Atoms (fractional coordinates):
Fe  0.0000  0.0000  0.0000
Ag  0.2500  0.2500  0.2500
As  0.5000  0.5000  0.5000

Results
N(E_F): 4.4 states/eV/cell
Total magnetic moment: 3.62 μB/f.u.

DFT (SCAN) results for AgGeAsIr2 at its PBEsol-relaxed geometry.

abc: 4.5256 4.5256 4.8755
angles: 90.00 90.00 90.00
Atoms (fractional coordinates):
Ag  0.0000  0.0000  0.0000
Ge  0.5000  0.5000  0.0000
As  0.5000  0.5000  0.5000
Ir  0.0000  0.5000  0.5000
Ir  0.5000  0.0000  0.5000

Results
N(E_F): 3.3 states/eV/cell
Total magnetic moment: 0.00 μB/f.u.

no.,electronic total energy (eV per atom)
1,-24.332
2,-10.870
3,-12.430
4,-20.259
5,-20.814
6,-10.359
7,-11.060
8,-19.740
9,-13.708
10,-19.069
11,-22.701
12,-41.499